Crystalline TlSb2P at its relaxed geometry, computed with GGA-PBE.

Computed properties:
ΔE to the lowest computed polymorph ... 0.180 eV/atom
E_form (uncorrected) ... 313.9 meV/atom
Magnetization ... 0.000 μB per formula unit
ρ ... 7.65 g/cm³

a = 3.368 Å, b = 3.368 Å, c = 10.147 Å
α = 90.00°, β = 90.00°, γ = 115.43°
Sites, in units of the cell vectors:
Tl 0.000 0.000 0.000
Sb 0.500 0.500 0.299
Sb 0.500 0.500 0.701
P 0.000 0.000 0.500

Crystalline TlSb2P at its relaxed geometry, computed with GGA-PBE.

Computed properties:
ΔE to the lowest computed polymorph ... 0.194 eV/atom
E_form (uncorrected) ... 328.0 meV/atom
Magnetization ... 0.000 μB per formula unit
ρ ... 5.79 g/cm³

a = 8.465 Å, b = 8.465 Å, c = 8.465 Å
α = 137.42°, β = 137.42°, γ = 61.80°
Sites, in units of the cell vectors:
Tl 0.000 0.000 0.000
Tl 0.750 0.250 0.500
Sb 0.180 0.625 0.055
Sb 0.375 0.430 0.555
Sb 0.570 0.125 0.945
Sb 0.875 0.820 0.445
P 0.250 0.750 0.500
P 0.500 0.500 0.000

Crystalline TlSbP2 at its relaxed geometry, computed with GGA-PBE.

Computed properties:
ΔE to the lowest computed polymorph ... 0.237 eV/atom
E_form (uncorrected) ... 383.3 meV/atom
Magnetization ... 0.000 μB per formula unit
ρ ... 5.36 g/cm³

a = 8.013 Å, b = 8.013 Å, c = 8.013 Å
α = 136.52°, β = 136.52°, γ = 63.18°
Sites, in units of the cell vectors:
Tl 0.000 0.000 0.000
Tl 0.750 0.250 0.500
Sb 0.250 0.750 0.500
Sb 0.500 0.500 0.000
P 0.136 0.625 0.011
P 0.375 0.386 0.511
P 0.614 0.125 0.989
P 0.875 0.864 0.489

Crystalline TlSbP2 at its relaxed geometry, computed with GGA-PBE.

Computed properties:
ΔE to the lowest computed polymorph ... 0.157 eV/atom
E_form (uncorrected) ... 303.6 meV/atom
Magnetization ... 0.000 μB per formula unit
ρ ... 6.50 g/cm³

a = 3.845 Å, b = 3.845 Å, c = 6.709 Å
α = 90.00°, β = 90.00°, γ = 90.00°
Sites, in units of the cell vectors:
Tl 0.000 0.000 0.000
Sb 0.000 0.000 0.500
P 0.500 0.500 0.333
P 0.500 0.500 0.667

Crystalline TlSb2P at its relaxed geometry, computed with GGA-PBE.

Computed properties:
ΔE to the lowest computed polymorph ... 0.083 eV/atom
E_form (uncorrected) ... 216.2 meV/atom
Magnetization ... 0.000 μB per formula unit
ρ ... 7.30 g/cm³

a = 3.041 Å, b = 3.965 Å, c = 9.158 Å
α = 90.00°, β = 99.38°, γ = 90.00°
Sites, in units of the cell vectors:
Tl 0.000 0.000 0.000
Sb 0.403 0.500 0.289
Sb 0.597 0.500 0.711
P 0.500 0.000 0.500

Crystalline TlSbP2 at its relaxed geometry, computed with GGA-PBE.

Computed properties:
ΔE to the lowest computed polymorph ... 0.134 eV/atom
E_form (uncorrected) ... 280.5 meV/atom
Magnetization ... 0.000 μB per formula unit
ρ ... 6.73 g/cm³

a = 6.041 Å, b = 6.041 Å, c = 6.041 Å
α = 148.76°, β = 122.10°, γ = 67.27°
Sites, in units of the cell vectors:
Tl 0.000 0.000 0.000
Sb 0.689 0.189 0.500
P 0.300 0.800 0.500
P 0.447 0.447 0.000

Crystalline TlSbP2 at its relaxed geometry, computed with GGA-PBE.

Computed properties:
ΔE to the lowest computed polymorph ... 0.427 eV/atom
E_form (uncorrected) ... 572.9 meV/atom
Magnetization ... 0.000 μB per formula unit
ρ ... 7.11 g/cm³

a = 6.387 Å, b = 6.387 Å, c = 6.387 Å
α = 143.72°, β = 143.72°, γ = 52.25°
Sites, in units of the cell vectors:
Tl 0.000 0.000 0.000
Sb 0.750 0.250 0.500
P 0.250 0.750 0.500
P 0.500 0.500 0.000

Crystalline TlSb2P at its relaxed geometry, computed with GGA-PBE.

Computed properties:
ΔE to the lowest computed polymorph ... 0.049 eV/atom
E_form (uncorrected) ... 183.0 meV/atom
Magnetization ... 0.000 μB per formula unit
ρ ... 7.23 g/cm³

a = 5.861 Å, b = 5.861 Å, c = 5.891 Å
α = 111.46°, β = 111.46°, γ = 36.06°
Sites, in units of the cell vectors:
Tl 0.000 0.000 0.000
Sb 0.197 0.197 0.655
Sb 0.803 0.803 0.345
P 0.500 0.500 0.500

Crystalline TlSb2PW at its relaxed geometry, computed with GGA-PBE.

Computed properties:
E_form (uncorrected) ... 946.8 meV/atom
Magnetization ... 1.971 μB per formula unit
ρ ... 7.43 g/cm³

a = 5.203 Å, b = 5.203 Å, c = 5.475 Å
α = 90.00°, β = 90.00°, γ = 90.00°
Sites, in units of the cell vectors:
Tl 0.000 0.000 0.000
Sb 0.000 0.500 0.500
Sb 0.500 0.000 0.500
P 0.500 0.500 0.000
W 0.000 0.000 0.500

Crystalline Tm8Sb2P at its relaxed geometry, computed with GGA-PBE.

Computed properties:
E_form (uncorrected) ... -631.6 meV/atom
Magnetization ... 0.419 μB per formula unit
ρ ... 8.83 g/cm³

a = 9.019 Å, b = 9.019 Å, c = 8.776 Å
α = 95.67°, β = 95.67°, γ = 25.50°
Sites, in units of the cell vectors:
Tm 0.012 0.012 0.217
Tm 0.208 0.208 0.359
Tm 0.345 0.345 0.972
Tm 0.408 0.408 0.458
Tm 0.592 0.592 0.542
Tm 0.655 0.655 0.028
Tm 0.792 0.792 0.641
Tm 0.988 0.988 0.783
Sb 0.178 0.178 0.774
Sb 0.822 0.822 0.226
P 0.500 0.500 0.000

Crystalline Tm4Sb2P at its relaxed geometry, computed with GGA-PBE.

Computed properties:
E_form (uncorrected) ... -828.5 meV/atom
Magnetization ... 0.000 μB per formula unit
ρ ... 8.58 g/cm³

a = 6.569 Å, b = 6.472 Å, c = 9.160 Å
α = 90.00°, β = 109.24°, γ = 90.00°
Sites, in units of the cell vectors:
Tm 0.003 0.003 0.260
Tm 0.003 0.497 0.260
Tm 0.400 0.750 0.061
Tm 0.434 0.750 0.642
Tm 0.566 0.250 0.358
Tm 0.600 0.250 0.939
Tm 0.997 0.503 0.740
Tm 0.997 0.997 0.740
Sb 0.193 0.250 0.042
Sb 0.210 0.250 0.554
Sb 0.790 0.750 0.446
Sb 0.807 0.750 0.958
P 0.344 0.750 0.336
P 0.656 0.250 0.664

Crystalline Tm4SbP at its relaxed geometry, computed with GGA-PBE.

Computed properties:
E_form (uncorrected) ... -830.4 meV/atom
Magnetization ... 0.003 μB per formula unit
ρ ... 9.09 g/cm³

a = 6.456 Å, b = 6.078 Å, c = 8.134 Å
α = 90.00°, β = 108.45°, γ = 90.00°
Sites, in units of the cell vectors:
Tm 0.001 0.001 0.204
Tm 0.001 0.499 0.204
Tm 0.383 0.250 0.599
Tm 0.423 0.250 0.104
Tm 0.577 0.750 0.896
Tm 0.617 0.750 0.401
Tm 0.999 0.501 0.796
Tm 0.999 0.999 0.796
Sb 0.215 0.750 0.549
Sb 0.785 0.250 0.451
P 0.296 0.750 0.081
P 0.704 0.250 0.919

Number 1: electronic total energy -14.8 eV for the cell shown. Number 2: electronic total energy -29.4 eV for the cell shown. Number 3: electronic total energy -31.6 eV for the cell shown. Number 4: electronic total energy -16.1 eV for the cell shown. Number 5: electronic total energy -15.2 eV for the cell shown. Number 6: electronic total energy -16.2 eV for the cell shown. Number 7: electronic total energy -15.0 eV for the cell shown. Number 8: electronic total energy -15.3 eV for the cell shown. Number 9: electronic total energy -24.2 eV for the cell shown. Number 10: electronic total energy -56.4 eV for the cell shown. Number 11: electronic total energy -74.7 eV for the cell shown. Number 12: electronic total energy -64.8 eV for the cell shown.